Tm3Pd2 after structural relaxation. Source: OQMD, functional GGA-PBE.

Lattice parameters (Å, degrees): 13.704 3.670 9.625 90.00 105.01 90.00
Space group C2/m (No. 12)
Unique sites:
Tm  0.092  0.000  0.160 [4 per cell]
Tm  0.132  0.500  0.495 [4 per cell]
Tm  0.148  0.500  0.876 [4 per cell]
Pd  0.031  0.000  0.654 [4 per cell]
Pd  0.249  0.500  0.271 [4 per cell]

Calculated values
**Size of the total moment**: 1.05 Bohr magnetons per cell
**ΔE_f**: -0.773 eV/atom

=====

LiZrTcTe after structural relaxation. Source: OQMD, functional GGA-PBE.

Lattice parameters (Å, degrees): 6.534 6.534 6.534 90.00 90.00 90.00
Space group F-43m (No. 216)
Unique sites:
Li  0.000  0.000  0.000 [4 per cell]
Zr  0.250  0.250  0.750 [4 per cell]
Tc  0.250  0.250  0.250 [4 per cell]
Te  0.000  0.000  0.500 [4 per cell]

Calculated values
**Size of the total moment**: 0.02 Bohr magnetons per cell
**ΔE to the lowest computed polymorph**: 0.395 eV per atom

=====

Na2Zr2In2PdPt after structural relaxation. Source: OQMD, functional GGA-PBE.

Lattice parameters (Å, degrees): 4.745 4.745 6.716 90.00 90.00 90.00
Space group P-4m2 (No. 115)
Unique sites:
Na  0.000  0.000  0.000 [1 per cell]
Na  0.500  0.500  0.500 [1 per cell]
Zr  0.000  0.500  0.747 [2 per cell]
In  0.000  0.500  0.246 [2 per cell]
Pd  0.500  0.500  0.000 [1 per cell]
Pt  0.000  0.000  0.500 [1 per cell]

Calculated values
**Size of the total moment**: 0.01 Bohr magnetons per cell
**Raw total energy**: -0.1806 hartree per atom

=====

- What is the formula in the second record?
  LiZrTcTe

=====

Copy entry 3 word for word.
Na2Zr2In2PdPt after structural relaxation. Source: OQMD, functional GGA-PBE.

Lattice parameters (Å, degrees): 4.745 4.745 6.716 90.00 90.00 90.00
Space group P-4m2 (No. 115)
Unique sites:
Na  0.000  0.000  0.000 [1 per cell]
Na  0.500  0.500  0.500 [1 per cell]
Zr  0.000  0.500  0.747 [2 per cell]
In  0.000  0.500  0.246 [2 per cell]
Pd  0.500  0.500  0.000 [1 per cell]
Pt  0.000  0.000  0.500 [1 per cell]

Calculated values
**Size of the total moment**: 0.01 Bohr magnetons per cell
**Raw total energy**: -0.1806 hartree per atom

=====

- What is the size of the total moment in the first record?
  1.05 Bohr magnetons per cell